No. 1
DFT (PBE) results for a geometry-optimized BaEu3Pd structure.

a b c (Å): 5.940 5.940 5.940
angles (deg): 90.00 90.00 90.00
Sites, in units of the cell vectors:
Ba 0.000 0.000 0.000
Eu 0.000 0.500 0.500
Eu 0.500 0.000 0.500
Eu 0.500 0.500 0.000
Pd 0.500 0.500 0.500

Calculated values
Space group ... No. 221
E_form ... -268 meV/atom
Size of the total moment ... 4.3541 μB/atom
D(E_F) ... 6.752 states/eV/atom

=====

No. 2
DFT (PBE) results for a geometry-optimized BeBPdAu structure.

a b c (Å): 3.211 3.211 5.651
angles (deg): 90.00 90.00 120.00
Sites, in units of the cell vectors:
Be 0.000 0.000 0.000
B 0.333 0.667 0.875
Pd 0.667 0.333 0.685
Au 0.333 0.667 0.280

Calculated values
Space group ... No. 156
E_form ... 6 meV/atom
Size of the total moment ... 0.0000 μB/atom
D(E_F) ... 0.172 states/eV/atom
Energy above the lowest structure with this stoichiometry ... 0 meV/atom

=====

No. 3
DFT (PBE) results for a geometry-optimized MgCrB2 structure.

a b c (Å): 3.806 3.806 3.806
angles (deg): 60.00 60.00 60.00
Sites, in units of the cell vectors:
Mg 0.000 0.000 0.000
Cr 0.500 0.500 0.500
B 0.250 0.250 0.250
B 0.750 0.750 0.750

Calculated values
Space group ... No. 225
E_form ... 708 meV/atom
Size of the total moment ... 0.0000 μB/atom
D(E_F) ... 1.147 states/eV/atom
Energy above the lowest structure with this stoichiometry ... 140 meV/atom

=====

No. 4
DFT (PBE) results for a geometry-optimized Hf3TcSe structure.

a b c (Å): 4.993 4.993 4.993
angles (deg): 90.00 90.00 90.00
Sites, in units of the cell vectors:
Hf 0.000 0.000 0.500
Hf 0.000 0.500 0.000
Hf 0.500 0.000 0.000
Tc 0.000 0.000 0.000
Se 0.500 0.500 0.500

Calculated values
Space group ... No. 221
ΔE_f (raw) ... 0.370 eV/atom
Size of the total moment ... 0.0000 μB/atom
D(E_F) ... 1.309 states/eV/atom
Energy above the lowest structure with this stoichiometry ... 0 meV/atom

=====

No. 5
DFT (PBE) results for a geometry-optimized LaSm3Al2 structure.

a b c (Å): 5.235 9.850 6.690
angles (deg): 90.00 90.00 90.00
Sites, in units of the cell vectors:
La 0.000 0.045 0.000
La 0.000 0.955 0.500
Sm 0.000 0.328 0.655
Sm 0.000 0.672 0.155
Sm 0.500 0.179 0.280
Sm 0.500 0.453 0.940
Sm 0.500 0.547 0.440
Sm 0.500 0.821 0.780
Al 0.000 0.356 0.177
Al 0.000 0.644 0.677
Al 0.500 0.149 0.757
Al 0.500 0.851 0.257

Calculated values
Space group ... No. 26
E_form ... -249 meV/atom
Size of the total moment ... 0.0000 μB/atom
D(E_F) ... 1.075 states/eV/atom
Energy above the lowest structure with this stoichiometry ... 0 meV/atom

=====

No. 6
DFT (PBE) results for a geometry-optimized ZnHNF2 structure.

a b c (Å): 4.111 4.111 2.657
angles (deg): 90.00 90.00 90.00
Sites, in units of the cell vectors:
Zn 0.000 0.000 0.000
H 0.500 0.500 0.500
N 0.500 0.500 0.000
F 0.000 0.500 0.500
F 0.500 0.000 0.500

Calculated values
Space group ... No. 123
Size of the total moment ... 0.4300 μB/atom
D(E_F) ... 0.097 states/eV/atom
Energy above the lowest structure with this stoichiometry ... 0 meV/atom

=====

No. 7
DFT (PBE) results for a geometry-optimized NaNi2SbAs structure.

a b c (Å): 6.972 3.885 7.094
angles (deg): 90.00 91.68 90.00
Sites, in units of the cell vectors:
Na 0.007 0.250 0.271
Na 0.993 0.750 0.729
Ni 0.359 0.750 0.428
Ni 0.495 0.250 0.245
Ni 0.505 0.750 0.755
Ni 0.641 0.250 0.572
Sb 0.320 0.750 0.066
Sb 0.680 0.250 0.934
As 0.304 0.250 0.602
As 0.696 0.750 0.398

Calculated values
Space group ... No. 11
ΔE_f (raw) ... -0.286 eV/atom
Size of the total moment ... 0.0000 μB/atom
D(E_F) ... 0.378 states/eV/atom